Entry 1:
This record from the Alexandria database describes crystalline SrReB2 at its relaxed geometry. The functional is PBE.

Cell lengths 4.982, 4.982, 12.867 Å; angles 90.00, 90.00, 90.00 degrees
Positions (direct):
Sr 0.000 0.250 0.375
Sr 0.000 0.750 0.625
Sr 0.500 0.250 0.125
Sr 0.500 0.750 0.875
Re 0.000 0.250 0.875
Re 0.000 0.750 0.125
Re 0.500 0.250 0.625
Re 0.500 0.750 0.375
B 0.000 0.000 0.000
B 0.000 0.500 0.000
B 0.250 0.250 0.750
B 0.250 0.750 0.250
B 0.500 0.000 0.500
B 0.500 0.500 0.500
B 0.750 0.250 0.750
B 0.750 0.750 0.250

Its energy above the most stable polymorph in this dataset is 0.000 eV/f.u. The formation energy comes out at 7.2 kcal/mol of atoms.

=====

Entry 2:
This record from the Alexandria database describes crystalline NbHPd2Au at its relaxed geometry. The functional is PBE.

Cell lengths 4.059, 4.059, 4.205 Å; angles 90.00, 90.00, 90.00 degrees
Positions (direct):
Nb 0.000 0.000 0.000
H 0.000 0.000 0.500
Pd 0.000 0.500 0.500
Pd 0.500 0.000 0.500
Au 0.500 0.500 0.000

As for the total energy: -5.457 eV/atom.

=====

Entry 3:
This record from the Alexandria database describes crystalline Sr2CaSb at its relaxed geometry. The functional is PBE.

Cell lengths 4.258, 4.258, 8.902 Å; angles 90.00, 90.00, 90.00 degrees
Positions (direct):
Sr 0.000 0.000 0.000
Sr 0.500 0.500 0.342
Ca 0.000 0.000 0.632
Sb 0.500 0.500 0.784

The calculation puts the energy relative to the elements, uncorrected at -470 meV per atom.

=====

Entry 4:
This record from the Alexandria database describes crystalline Hf2VRu at its relaxed geometry. The functional is PBE.

Cell lengths 7.249, 7.249, 5.789 Å; angles 90.00, 90.00, 90.00 degrees
Positions (direct):
Hf 0.226 0.250 0.125
Hf 0.250 0.726 0.375
Hf 0.250 0.774 0.875
Hf 0.274 0.250 0.625
Hf 0.726 0.750 0.625
Hf 0.750 0.226 0.875
Hf 0.750 0.274 0.375
Hf 0.774 0.750 0.125
V 0.000 0.000 0.500
V 0.000 0.500 0.750
V 0.500 0.000 0.250
V 0.500 0.500 0.000
Ru 0.000 0.000 0.000
Ru 0.000 0.500 0.250
Ru 0.500 0.000 0.750
Ru 0.500 0.500 0.500

The formation energy comes out at 7.5 kcal/mol of atoms.

=====

Entry 5:
This record from the Alexandria database describes crystalline RbTl3Sb at its relaxed geometry. The functional is PBE.

Cell lengths 6.127, 6.127, 6.127 Å; angles 90.00, 90.00, 90.00 degrees
Positions (direct):
Rb 0.000 0.000 0.000
Tl 0.000 0.500 0.500
Tl 0.500 0.000 0.500
Tl 0.500 0.500 0.000
Sb 0.500 0.500 0.500

The calculation puts the energy relative to the elements, uncorrected at 143 meV per atom. Its energy above the most stable polymorph in this dataset is 1.373 eV/f.u.

=====

Entry 6:
This record from the Alexandria database describes crystalline TiZnAg at its relaxed geometry. The functional is PBE.

Cell lengths 5.025, 2.902, 13.836 Å; angles 90.00, 90.02, 90.00 degrees
Positions (direct):
Ti 0.000 0.000 0.000
Ti 0.166 0.500 0.842
Ti 0.500 0.500 0.000
Ti 0.666 0.000 0.842
Zn 0.001 0.000 0.341
Zn 0.167 0.500 0.501
Zn 0.501 0.500 0.341
Zn 0.667 0.000 0.501
Ag 0.333 0.000 0.667
Ag 0.334 0.000 0.175
Ag 0.833 0.500 0.667
Ag 0.834 0.500 0.175

Its energy above the most stable polymorph in this dataset is 0.312 eV/f.u. The formation energy comes out at 0.4 kcal/mol of atoms.

=====

Entry 7:
This record from the Alexandria database describes crystalline NaGe2Bi2 at its relaxed geometry. The functional is PBE.

Cell lengths 8.357, 8.357, 3.893 Å; angles 90.00, 90.00, 90.00 degrees
Positions (direct):
Na 0.000 0.000 0.000
Na 0.500 0.500 0.000
Ge 0.119 0.381 0.000
Ge 0.381 0.881 0.000
Ge 0.619 0.119 0.000
Ge 0.881 0.619 0.000
Bi 0.164 0.664 0.500
Bi 0.336 0.164 0.500
Bi 0.664 0.836 0.500
Bi 0.836 0.336 0.500

Its energy above the most stable polymorph in this dataset is 0.106 eV/f.u. The formation energy comes out at 1.6 kcal/mol of atoms.

=====

Entry 8:
This record from the Alexandria database describes crystalline VInAgAu at its relaxed geometry. The functional is PBE.

Cell lengths 6.638, 6.638, 6.638 Å; angles 90.00, 90.00, 90.00 degrees
Positions (direct):
V 0.000 0.000 0.000
V 0.000 0.500 0.500
V 0.500 0.000 0.500
V 0.500 0.500 0.000
In 0.000 0.000 0.500
In 0.000 0.500 0.000
In 0.500 0.000 0.000
In 0.500 0.500 0.500
Ag 0.250 0.250 0.250
Ag 0.250 0.750 0.750
Ag 0.750 0.250 0.750
Ag 0.750 0.750 0.250
Au 0.250 0.250 0.750
Au 0.250 0.750 0.250
Au 0.750 0.250 0.250
Au 0.750 0.750 0.750

The formation energy comes out at 2.9 kcal/mol of atoms.

=====

Entry 9:
This record from the Alexandria database describes crystalline LaGdTmTl at its relaxed geometry. The functional is PBE.

Cell lengths 7.867, 7.867, 7.867 Å; angles 90.00, 90.00, 90.00 degrees
Positions (direct):
La 0.000 0.000 0.000
La 0.000 0.500 0.500
La 0.500 0.000 0.500
La 0.500 0.500 0.000
Gd 0.000 0.000 0.500
Gd 0.000 0.500 0.000
Gd 0.500 0.000 0.000
Gd 0.500 0.500 0.500
Tm 0.250 0.250 0.250
Tm 0.250 0.750 0.750
Tm 0.750 0.250 0.750
Tm 0.750 0.750 0.250
Tl 0.250 0.250 0.750
Tl 0.250 0.750 0.250
Tl 0.750 0.250 0.250
Tl 0.750 0.750 0.750

The formation energy comes out at -2.3 kcal/mol of atoms.

=====

Entry 10:
This record from the Alexandria database describes crystalline Mg2TaCuB at its relaxed geometry. The functional is PBE.

Cell lengths 4.333, 4.333, 4.407 Å; angles 90.00, 90.00, 90.00 degrees
Positions (direct):
Mg 0.000 0.500 0.000
Mg 0.500 0.000 0.000
Ta 0.000 0.000 0.500
Cu 0.500 0.500 0.500
B 0.000 0.000 0.000

The formation energy comes out at 8.1 kcal/mol of atoms.

=====

no.,mass density (Mg/m³),size of the total moment (μB/atom)
1,6.146,0.00
2,12.072,0.28
3,3.469,0.06
4,11.112,0.44
5,5.924,0.00
6,7.280,0.00
7,7.162,0.00
8,10.686,0.65
9,9.134,2.09
10,6.098,0.00